# TlP, relaxed, DFT PBE
# * E_form: 0.050 eV/atom
# * N(E_F): 1.16 states/eV/cell
data_TlP
_chemical_formula_sum 'Tl2 P2'
_space_group_name_H-M_alt 'P 1'
_space_group_IT_number 1
_cell_length_a 3.308
_cell_length_b 6.111
_cell_length_c 6.295
_cell_angle_alpha 118.20
_cell_angle_beta 90.34
_cell_angle_gamma 105.28
loop_
_space_group_symop_operation_xyz
'x,y,z'
loop_
_atom_site_label
_atom_site_fract_x
_atom_site_fract_y
_atom_site_fract_z
Tl1 0.000 0.000 0.000
Tl2 0.413 0.819 0.409
P1 0.211 0.428 0.833
P2 0.695 0.402 0.594

---

# BeRhBr, relaxed, DFT PBE
# * offset from the most stable computed form: 148 meV/atom
# * formation energy from raw total energies: -0.28 eV/atom
# * N(E_F): 0.79 states/eV/cell
data_BeRhBr
_chemical_formula_sum 'Be2 Rh2 Br2'
_space_group_name_H-M_alt 'P 1'
_space_group_IT_number 1
_cell_length_a 3.574
_cell_length_b 3.592
_cell_length_c 9.904
_cell_angle_alpha 80.70
_cell_angle_beta 80.08
_cell_angle_gamma 60.17
loop_
_space_group_symop_operation_xyz
'x,y,z'
loop_
_atom_site_label
_atom_site_fract_x
_atom_site_fract_y
_atom_site_fract_z
Be1 0.168 0.163 0.000
Be2 0.832 0.837 0.000
Rh1 0.456 0.463 0.131
Rh2 0.544 0.537 0.869
Br1 0.106 0.592 0.681
Br2 0.894 0.408 0.319

---

# YThZnAg, relaxed, DFT PBE
# * E_form: -0.181 eV/atom
# * N(E_F): 3.51 states/eV/cell
data_YThZnAg
_chemical_formula_sum 'Y1 Th1 Zn1 Ag1'
_space_group_name_H-M_alt 'P 1'
_space_group_IT_number 1
_cell_length_a 5.198
_cell_length_b 5.198
_cell_length_c 5.198
_cell_angle_alpha 60.00
_cell_angle_beta 60.00
_cell_angle_gamma 60.00
loop_
_space_group_symop_operation_xyz
'x,y,z'
loop_
_atom_site_label
_atom_site_fract_x
_atom_site_fract_y
_atom_site_fract_z
Y1 0.000 0.000 0.000
Th1 0.500 0.500 0.500
Zn1 0.750 0.750 0.750
Ag1 0.250 0.250 0.250

---

# Cr2InRe, relaxed, DFT PBE
# * E_form: 0.477 eV/atom
# * N(E_F): 3.63 states/eV/cell
data_Cr2InRe
_chemical_formula_sum 'Cr2 In1 Re1'
_space_group_name_H-M_alt 'P 1'
_space_group_IT_number 1
_cell_length_a 4.433
_cell_length_b 4.433
_cell_length_c 4.433
_cell_angle_alpha 60.00
_cell_angle_beta 60.00
_cell_angle_gamma 60.00
loop_
_space_group_symop_operation_xyz
'x,y,z'
loop_
_atom_site_label
_atom_site_fract_x
_atom_site_fract_y
_atom_site_fract_z
Cr1 0.000 0.000 0.000
Cr2 0.250 0.250 0.250
In1 0.500 0.500 0.500
Re1 0.750 0.750 0.750

---

# CsAsCl4, relaxed, DFT PBE
# * offset from the most stable computed form: 0 meV/atom
# * formation energy from raw total energies: -1.15 eV/atom
data_CsAsCl4
_chemical_formula_sum 'Cs2 As2 Cl8'
_space_group_name_H-M_alt 'P 1'
_space_group_IT_number 1
_cell_length_a 10.501
_cell_length_b 10.501
_cell_length_c 7.675
_cell_angle_alpha 90.00
_cell_angle_beta 90.00
_cell_angle_gamma 151.71
loop_
_space_group_symop_operation_xyz
'x,y,z'
loop_
_atom_site_label
_atom_site_fract_x
_atom_site_fract_y
_atom_site_fract_z
Cs1 0.091 0.909 0.750
Cs2 0.909 0.091 0.250
As1 0.398 0.602 0.750
As2 0.602 0.398 0.250
Cl1 0.089 0.911 0.250
Cl2 0.322 0.678 0.531
Cl3 0.322 0.678 0.969
Cl4 0.500 0.500 0.000
Cl5 0.500 0.500 0.500
Cl6 0.678 0.322 0.031
Cl7 0.678 0.322 0.469
Cl8 0.911 0.089 0.750

---

Number 1: E_tot -3.84 eV per atom, volume 26.72 A^3/atom. Number 2: E_tot -4.53 eV per atom, volume 18.03 A^3/atom. Number 3: E_tot -4.68 eV per atom, volume 24.83 A^3/atom. Number 4: E_tot -8.13 eV per atom, volume 15.40 A^3/atom. Number 5: E_tot -3.30 eV per atom, volume 33.43 A^3/atom.